The following is a PBE calculation of ErV2Mo after structural relaxation, from Alexandria.

abc: 3.171 3.171 7.056
angles: 90.00 90.00 90.00
Site moments in Bohr magnetons follow the coordinates.
Fractional positions:
Mo  0.500  0.500  0.000  -0.03
Er  0.500  0.500  0.500  0.06
V  0.000  0.000  0.194  0.13
V  0.000  0.000  0.806  0.13

Computed properties:
total magnetic moment	0.33	Bohr magnetons per cell
E	-8.20	eV/atom
ΔE_f	203	meV per atom

***

The following is a PBE calculation of La2AlAs after structural relaxation, from Alexandria.

abc: 5.243 5.243 5.243
angles: 60.00 60.00 60.00
Fractional positions:
La  0.250  0.250  0.250
La  0.000  0.000  0.000
Al  0.500  0.500  0.500
As  0.750  0.750  0.750

Computed properties:
total magnetic moment	0.00	Bohr magnetons per cell
E	-4.73	eV/atom
ΔE_f	-167	meV per atom